This record from Alexandria describes crystalline Pm2Zn3Ga2 at its relaxed geometry. The functional is PBE.

symmetry: No. 12
formation enthalpy at 0 K: -0.4690 eV per atom

a b c (Å): 4.4143 5.7555 6.5877
angles (deg): 110.01 90.00 112.55
Sites, in units of the cell vectors:
Pm  0.8476  0.6953  0.2347
Pm  0.1524  0.3047  0.7653
Zn  0.5000  0.0000  0.0000
Zn  0.5911  0.1822  0.4182
Zn  0.4089  0.8178  0.5818
Ga  0.8494  0.6989  0.7442
Ga  0.1506  0.3011  0.2558